No. 1
First-principles (PBE) data for crystalline Li2ZnCd3Au3 at its relaxed geometry, as listed in the Alexandria database.

Values from the calculation:
Space group ... P-62m, No. 189
Uncorrected energy ... -2.246 eV/atom

Lattice parameters (Å, degrees): 2.9447 7.8723 7.8723 120.00 90.00 90.00
Last column: nearest neighbours and their distance in Å.
Sites, in units of the cell vectors:
Au1 0.0000 0.3592 0.0000  1 Zn 2.83, 4 Li 2.93, 2 Au 2.94, 6 Cd 2.96-3.05
Li1 0.5000 0.6667 0.3333  3 Cd 2.70, 6 Au 2.93, 2 Li 2.94
Zn1 0.0000 0.0000 0.0000  3 Au 2.83, 6 Cd 2.88, 2 Zn 2.94
Li2 0.5000 0.3333 0.6667  3 Cd 2.70, 6 Au 2.93, 2 Li 2.94
Cd1 0.5000 0.6860 0.0000  2 Li 2.70, 2 Zn 2.88, 2 Cd 2.94, 2 Au 2.96
Cd2 0.5000 0.3140 0.3140  2 Li 2.70, 2 Zn 2.88, 2 Cd 2.94, 2 Au 2.96
Au2 0.0000 0.0000 0.3592  1 Zn 2.83, 4 Li 2.93, 2 Au 2.94, 6 Cd 2.96-3.05
Au3 0.0000 0.6408 0.6408  1 Zn 2.83, 4 Li 2.93, 2 Au 2.94, 6 Cd 2.96-3.05
Cd3 0.5000 0.0000 0.6860  2 Li 2.70, 2 Zn 2.88, 2 Cd 2.94, 2 Au 2.96



No. 2
First-principles (PBE) data for crystalline Li3Zn2CdAu3 at its relaxed geometry, as listed in the Alexandria database.

Values from the calculation:
Space group ... P-62m, No. 189
Uncorrected energy ... -2.488 eV/atom

Lattice parameters (Å, degrees): 2.8629 7.6448 7.6448 120.00 90.00 90.00
Last column: nearest neighbours and their distance in Å.
Sites, in units of the cell vectors:
Li1 0.5000 0.6902 0.0000  2 Zn 2.64, 2 Cd 2.77, 2 Au 2.78, 2 Li 2.86
Cd1 0.0000 0.0000 0.0000  6 Li 2.77, 2 Cd 2.86, 3 Au 2.89
Li2 0.5000 0.3098 0.3098  2 Zn 2.64, 2 Cd 2.77, 2 Au 2.78, 2 Li 2.86
Au1 0.0000 0.0000 0.3779  6 Li 2.78-3.03, 4 Zn 2.79, 2 Au 2.86, 1 Cd 2.89
Zn1 0.5000 0.3333 0.6667  3 Li 2.64, 6 Au 2.79, 2 Zn 2.86
Li3 0.5000 0.0000 0.6902  2 Zn 2.64, 2 Cd 2.77, 2 Au 2.78, 2 Li 2.86
Au2 0.0000 0.6221 0.6221  6 Li 2.78-3.03, 4 Zn 2.79, 2 Au 2.86, 1 Cd 2.89
Au3 0.0000 0.3779 0.0000  6 Li 2.78-3.03, 4 Zn 2.79, 2 Au 2.86, 1 Cd 2.89
Zn2 0.5000 0.6667 0.3333  3 Li 2.64, 6 Au 2.79, 2 Zn 2.86



Number 1: N(E_F) 2.243 states/eV/f.u., DFT formation energy -0.2817 eV/atom. Number 2: N(E_F) 2.854 states/eV/f.u., DFT formation energy -0.3729 eV/atom.